This record from Alexandria via LeMat-Bulk describes an optimized crystal structure of HoTh4. The functional is PBE.

Its size of the total moment is 0.000 Bohr magnetons per cell. The calculation puts the density of states at the Fermi level at 1.51 states/eV per atom. As for the relative energy among the computed polymorphs: 0.070 eV per formula unit. For the calculated density, the calculation gives 11.355 g cm⁻³. As for the crystal system: orthorhombic. As for the space-group type: Immm (71). The formation energy comes out at 33 meV/atom.

```
HoTh4
1.0
3.594 0.000 0.000
0.000 4.997 0.000
-1.797 -2.498 8.901
Th Ho
4 1
direct
0.601 0.601 0.202
0.801 0.801 0.601
0.399 0.399 0.798
0.199 0.199 0.399
0.000 0.000 0.000
```

***

This record from Alexandria via LeMat-Bulk describes an optimized crystal structure of HoTh4. The functional is PBE.

Its size of the total moment is 0.000 Bohr magnetons per cell. The calculation puts the density of states at the Fermi level at 1.62 states/eV per atom. As for the relative energy among the computed polymorphs: 0.000 eV per formula unit. For the calculated density, the calculation gives 11.354 g cm⁻³. As for the crystal system: monoclinic. As for the space-group type: C2/m (12). The formation energy comes out at 18 meV/atom.

```
HoTh4
1.0
-0.284 2.544 2.481
-0.279 -0.897 3.439
14.259 0.915 3.217
Th Ho
4 1
direct
0.400 0.400 0.799
0.200 0.200 0.399
0.600 0.600 0.201
0.800 0.800 0.601
0.000 0.000 0.000
```

***

This record from Alexandria via LeMat-Bulk describes an optimized crystal structure of HoTh5. The functional is PBE.

Its size of the total moment is 0.000 Bohr magnetons per cell. The calculation puts the density of states at the Fermi level at 1.54 states/eV per atom. As for the relative energy among the computed polymorphs: 0.484 eV per formula unit. For the calculated density, the calculation gives 11.420 g cm⁻³. As for the crystal system: orthorhombic. As for the space-group type: Cmmm (65). The formation energy comes out at 116 meV/atom.

```
HoTh5
1.0
-0.382 -0.911 5.929
-2.035 -5.563 -0.986
6.028 0.942 0.533
Th Ho
5 1
direct
0.500 0.828 0.657
0.000 0.337 0.673
0.000 0.663 0.327
0.500 0.500 0.000
0.500 0.172 0.343
0.000 0.000 0.000
```

***

This record from Alexandria via LeMat-Bulk describes an optimized crystal structure of Ho5Th2. The functional is PBE.

Its size of the total moment is 0.000 Bohr magnetons per cell. The calculation puts the density of states at the Fermi level at 1.98 states/eV per atom. As for the relative energy among the computed polymorphs: 0.000 eV per formula unit. For the calculated density, the calculation gives 9.695 g cm⁻³. As for the crystal system: monoclinic. As for the space-group type: C2/m (12). The formation energy comes out at 130 meV/atom.

```
Ho5Th2
1.0
5.299 0.235 -1.535
-2.827 4.734 -0.307
0.266 -0.389 8.588
Th Ho
2 5
direct
0.571 0.789 0.860
0.429 0.211 0.140
0.857 0.930 0.287
0.713 0.361 0.575
0.287 0.639 0.425
0.143 0.070 0.713
0.000 0.500 0.000
```

***

This record from Alexandria via LeMat-Bulk describes an optimized crystal structure of HoTh5. The functional is PBE.

Its size of the total moment is 0.000 Bohr magnetons per cell. The calculation puts the density of states at the Fermi level at 1.52 states/eV per atom. As for the relative energy among the computed polymorphs: 0.000 eV per formula unit. For the calculated density, the calculation gives 11.476 g cm⁻³. As for the crystal system: orthorhombic. As for the space-group type: Cmmm (65). The formation energy comes out at 35 meV/atom.

```
HoTh5
1.0
5.004 0.000 0.000
0.000 5.022 0.000
0.000 -2.511 7.629
Th Ho
5 1
direct
0.000 0.332 0.664
0.500 0.500 0.000
0.000 0.668 0.336
0.500 0.165 0.331
0.500 0.835 0.669
0.000 0.000 0.000
```

***

This record from Alexandria via LeMat-Bulk describes an optimized crystal structure of Ho3Th. The functional is PBE.

Its size of the total moment is 0.000 Bohr magnetons per cell. The calculation puts the density of states at the Fermi level at 1.85 states/eV per atom. As for the relative energy among the computed polymorphs: 0.047 eV per formula unit. For the calculated density, the calculation gives 9.509 g cm⁻³. As for the crystal system: orthorhombic. As for the space-group type: Pmm2 (25). The formation energy comes out at 46 meV/atom.

```
Ho3Th
1.0
3.594 0.000 0.000
0.000 5.737 0.000
0.000 0.000 6.156
Ho Th
3 1
direct
0.000 0.500 0.332
0.500 0.500 0.841
0.500 0.000 0.502
0.000 0.000 0.991
```

***

This record from Alexandria via LeMat-Bulk describes an optimized crystal structure of Ho7Th. The functional is PBE.

Its size of the total moment is 0.000 Bohr magnetons per cell. The calculation puts the density of states at the Fermi level at 1.22 states/eV per atom. For the calculated density, the calculation gives 9.290 g cm⁻³. As for the crystal system: cubic. As for the space-group type: Fm-3m (225). The formation energy comes out at 18 meV/atom.

```
Ho7Th
1.0
7.051 0.000 0.000
3.525 6.106 0.000
3.525 2.035 5.757
Ho Th
7 1
direct
0.500 0.000 0.500
0.000 0.500 0.500
0.500 0.000 0.000
0.000 0.000 0.500
0.000 0.500 0.000
0.500 0.500 0.500
0.500 0.500 0.000
0.000 0.000 0.000
```

***

This record from Alexandria via LeMat-Bulk describes an optimized crystal structure of Ho2Th. The functional is PBE.

Its size of the total moment is 0.141 Bohr magnetons per cell. The calculation puts the density of states at the Fermi level at 2.54 states/eV per atom. As for the relative energy among the computed polymorphs: 1.094 eV per formula unit. For the calculated density, the calculation gives 9.788 g cm⁻³. As for the crystal system: cubic. As for the space-group type: Fd-3m (227). The formation energy comes out at 349 meV/atom.

```
Ho2Th
1.0
-2.850 -5.151 -2.660
3.323 -5.484 -0.785
-1.381 -5.162 3.631
Ho Th
4 2
direct
0.125 0.625 0.625
0.625 0.125 0.625
0.625 0.625 0.625
0.625 0.625 0.125
0.250 0.250 0.250
0.000 0.000 0.000
```

***

This record from Alexandria via LeMat-Bulk describes an optimized crystal structure of Ho2Th5. The functional is PBE.

Its size of the total moment is 0.000 Bohr magnetons per cell. The calculation puts the density of states at the Fermi level at 1.62 states/eV per atom. As for the relative energy among the computed polymorphs: 0.000 eV per formula unit. For the calculated density, the calculation gives 11.082 g cm⁻³. As for the crystal system: monoclinic. As for the space-group type: C2/m (12). The formation energy comes out at 42 meV/atom.

```
Ho2Th5
1.0
5.005 0.000 0.000
-2.503 5.590 -0.741
0.000 -0.030 7.984
Ho Th
2 5
direct
0.930 0.859 0.784
0.070 0.141 0.216
0.644 0.288 0.930
0.786 0.572 0.357
0.500 0.000 0.500
0.356 0.712 0.070
0.214 0.428 0.643
```

***

This record from Alexandria via LeMat-Bulk describes an optimized crystal structure of Ho13Th3. The functional is PBE.

Its size of the total moment is 0.001 Bohr magnetons per cell. The calculation puts the density of states at the Fermi level at 1.84 states/eV per atom. For the calculated density, the calculation gives 9.302 g cm⁻³. As for the crystal system: orthorhombic. As for the space-group type: Amm2 (38). The formation energy comes out at 30 meV/atom.

```
Ho13Th3
1.0
7.182 0.000 0.000
0.000 8.378 -0.826
0.000 0.097 8.418
Ho Th
13 3
direct
0.000 0.210 0.296
0.500 0.793 0.207
0.248 0.542 0.458
0.752 0.957 0.540
0.000 0.704 0.790
0.752 0.460 0.043
0.500 0.212 0.289
0.248 0.460 0.043
0.752 0.542 0.458
0.000 0.795 0.205
0.500 0.287 0.713
0.500 0.711 0.788
0.248 0.957 0.540
0.751 0.042 0.958
0.249 0.042 0.958
0.000 0.286 0.714
```

***

This record from Alexandria via LeMat-Bulk describes an optimized crystal structure of HoTh2. The functional is PBE.

Its size of the total moment is 0.000 Bohr magnetons per cell. The calculation puts the density of states at the Fermi level at 1.56 states/eV per atom. As for the relative energy among the computed polymorphs: 0.024 eV per formula unit. For the calculated density, the calculation gives 10.908 g cm⁻³. As for the crystal system: orthorhombic. As for the space-group type: Pnma (62). The formation energy comes out at 49 meV/atom.

```
HoTh2
1.0
-4.043 0.027 -2.954
2.668 -5.469 -3.701
-4.896 -6.879 6.638
Ho Th
4 8
direct
0.250 0.623 0.584
0.750 0.877 0.084
0.750 0.377 0.416
0.250 0.123 0.916
0.750 0.876 0.417
0.250 0.626 0.248
0.250 0.624 0.917
0.250 0.126 0.252
0.750 0.376 0.083
0.250 0.124 0.583
0.750 0.874 0.748
0.750 0.374 0.752
```

***

This record from Alexandria via LeMat-Bulk describes an optimized crystal structure of Ho3Th. The functional is PBE.

Its size of the total moment is 0.002 Bohr magnetons per cell. The calculation puts the density of states at the Fermi level at 2.14 states/eV per atom. As for the relative energy among the computed polymorphs: 0.467 eV per formula unit. For the calculated density, the calculation gives 9.494 g cm⁻³. As for the crystal system: cubic. As for the space-group type: Fm-3m (225). The formation energy comes out at 151 meV/atom.

```
Ho3Th
1.0
-3.189 -0.355 4.643
-2.894 -4.723 1.081
1.572 -3.361 4.252
Ho Th
3 1
direct
0.250 0.250 0.250
0.750 0.750 0.750
0.000 0.000 0.000
0.500 0.500 0.500
```

***

This record from Alexandria via LeMat-Bulk describes an optimized crystal structure of Ho3Th. The functional is PBE.

Its size of the total moment is 0.000 Bohr magnetons per cell. The calculation puts the density of states at the Fermi level at 1.12 states/eV per atom. As for the relative energy among the computed polymorphs: 1.404 eV per formula unit. For the calculated density, the calculation gives 8.391 g cm⁻³. As for the crystal system: tetragonal. As for the space-group type: P4_2/mnm (136). The formation energy comes out at 385 meV/atom.

```
Ho3Th
1.0
-5.251 -5.687 -3.893
5.775 -0.960 -6.387
3.327 -5.720 3.867
Ho Th
12 4
direct
0.500 0.000 0.500
0.162 0.162 0.760
0.838 0.838 0.240
0.338 0.662 0.260
0.838 0.838 0.760
0.000 0.500 0.500
0.500 0.000 0.000
0.662 0.338 0.740
0.662 0.338 0.260
0.162 0.162 0.240
0.338 0.662 0.740
0.000 0.500 0.000
0.366 0.366 0.000
0.634 0.634 0.000
0.866 0.134 0.500
0.134 0.866 0.500
```

***

This record from Alexandria via LeMat-Bulk describes an optimized crystal structure of HoTh2. The functional is PBE.

Its size of the total moment is 0.000 Bohr magnetons per cell. The calculation puts the density of states at the Fermi level at 1.28 states/eV per atom. As for the relative energy among the computed polymorphs: 0.000 eV per formula unit. For the calculated density, the calculation gives 10.893 g cm⁻³. As for the crystal system: tetragonal. As for the space-group type: I4/mmm (139). The formation energy comes out at 41 meV/atom.

```
HoTh2
1.0
3.566 0.000 0.000
0.000 3.566 0.000
-1.783 -1.783 7.539
Th Ho
2 1
direct
0.668 0.668 0.336
0.332 0.332 0.664
0.000 0.000 0.000
```

***

This record from Alexandria via LeMat-Bulk describes an optimized crystal structure of Ho3Th. The functional is PBE.

Its size of the total moment is 0.000 Bohr magnetons per cell. The calculation puts the density of states at the Fermi level at 1.62 states/eV per atom. As for the relative energy among the computed polymorphs: 0.055 eV per formula unit. For the calculated density, the calculation gives 9.572 g cm⁻³. As for the crystal system: tetragonal. As for the space-group type: I4/mmm (139). The formation energy comes out at 48 meV/atom.

```
Ho3Th
1.0
-0.286 -4.352 -2.552
-0.390 -2.529 4.357
-4.578 3.874 -1.091
Th Ho
1 3
direct
0.000 0.000 0.000
0.750 0.250 0.500
0.500 0.500 0.000
0.250 0.750 0.500
```

***

This record from Alexandria via LeMat-Bulk describes an optimized crystal structure of Ho3Th. The functional is PBE.

Its size of the total moment is 0.000 Bohr magnetons per cell. The calculation puts the density of states at the Fermi level at 1.55 states/eV per atom. As for the relative energy among the computed polymorphs: 0.016 eV per formula unit. For the calculated density, the calculation gives 9.652 g cm⁻³. As for the crystal system: cubic. As for the space-group type: Pm-3m (221). The formation energy comes out at 38 meV/atom.

```
Ho3Th
1.0
5.001 0.000 0.000
0.000 5.001 0.000
0.000 0.000 5.001
Ho Th
3 1
direct
0.500 0.000 0.500
0.500 0.500 0.000
0.000 0.500 0.500
0.000 0.000 0.000
```

***

This record from Alexandria via LeMat-Bulk describes an optimized crystal structure of Ho3Th5. The functional is PBE.

Its size of the total moment is 0.000 Bohr magnetons per cell. The calculation puts the density of states at the Fermi level at 1.35 states/eV per atom. As for the relative energy among the computed polymorphs: 0.026 eV per formula unit. For the calculated density, the calculation gives 10.777 g cm⁻³. As for the crystal system: orthorhombic. As for the space-group type: Pmmm (47). The formation energy comes out at 45 meV/atom.

```
Ho3Th5
1.0
-0.734 2.261 4.468
-1.098 -4.450 2.072
9.668 -1.333 2.262
Ho Th
3 5
direct
0.500 0.000 0.754
0.500 0.500 0.500
0.500 0.000 0.246
0.000 0.000 0.000
0.000 0.500 0.750
0.000 0.500 0.250
0.000 0.000 0.500
0.500 0.500 0.000
```

***

This record from Alexandria via LeMat-Bulk describes an optimized crystal structure of HoTh11. The functional is PBE.

Its size of the total moment is 0.000 Bohr magnetons per cell. The calculation puts the density of states at the Fermi level at 1.57 states/eV per atom. For the calculated density, the calculation gives 11.537 g cm⁻³. As for the crystal system: hexagonal. As for the space-group type: P6/mmm (191). The formation energy comes out at 107 meV/atom.

```
HoTh11
1.0
-0.153 1.167 -3.284
0.135 -10.718 -3.816
-9.911 5.104 2.276
Th Ho
11 1
direct
0.500 0.342 0.171
0.000 0.667 0.333
0.500 0.829 0.658
0.000 0.500 0.500
0.500 0.829 0.171
0.000 0.500 0.000
0.500 0.171 0.342
0.500 0.171 0.829
0.000 0.333 0.667
0.000 0.000 0.500
0.500 0.658 0.829
0.000 0.000 0.000
```

***

This record from Alexandria via LeMat-Bulk describes an optimized crystal structure of Ho3Th. The functional is PBE.

Its size of the total moment is 0.000 Bohr magnetons per cell. The calculation puts the density of states at the Fermi level at 1.61 states/eV per atom. As for the relative energy among the computed polymorphs: 0.000 eV per formula unit. For the calculated density, the calculation gives 9.535 g cm⁻³. As for the crystal system: orthorhombic. As for the space-group type: Imm2 (44). The formation energy comes out at 34 meV/atom.

```
Ho3Th
1.0
-0.907 2.191 2.704
-0.818 -4.890 3.689
6.321 1.640 -1.601
Ho Th
3 1
direct
0.751 0.089 0.503
0.500 0.504 0.000
0.249 0.586 0.497
0.000 0.987 0.000
```

***

This record from Alexandria via LeMat-Bulk describes an optimized crystal structure of Ho2Th. The functional is PBE.

Its size of the total moment is 0.000 Bohr magnetons per cell. The calculation puts the density of states at the Fermi level at 1.46 states/eV per atom. As for the relative energy among the computed polymorphs: 0.119 eV per formula unit. For the calculated density, the calculation gives 9.840 g cm⁻³. As for the crystal system: tetragonal. As for the space-group type: I4/mmm (139). The formation energy comes out at 24 meV/atom.

```
Ho2Th
1.0
-1.172 0.076 3.368
0.724 -3.477 0.330
7.101 3.355 0.507
Ho Th
2 1
direct
0.338 0.338 0.676
0.662 0.662 0.324
0.000 0.000 0.000
```